[1]
Computed, not measured: a crystal of RbAlCl2 relaxed with PBEsol at the SCAN level of DFT.

Cell and atoms, written as POSCAR:
```
RbAlCl2
1.0
-3.349 2.386 2.121
-4.301 -0.037 -1.704
-4.403 -6.107 4.966
Al Rb Cl
1 1 2
direct
0.000 0.000 0.000
0.500 0.500 0.500
0.903 0.903 0.290
0.097 0.097 0.710
```

Summary:
Density: 1.91 g/cm³
Uncorrected formation energy: -1.078 eV/atom
Space group: R-3m

---

[2]
Computed, not measured: a crystal of Rb2AlTlCl6 relaxed with PBEsol at the SCAN level of DFT.

Cell and atoms, written as POSCAR:
```
Rb2AlTlCl6
1.0
7.471 0.000 0.000
3.736 6.470 0.000
3.736 2.157 6.100
Tl Al Rb Cl
1 1 2 6
direct
0.500 0.500 0.500
0.000 0.000 0.000
0.250 0.250 0.250
0.750 0.750 0.750
0.220 0.780 0.220
0.220 0.220 0.780
0.780 0.780 0.220
0.780 0.220 0.220
0.220 0.780 0.780
0.780 0.220 0.780
```

Summary:
Density: 3.46 g/cm³
Uncorrected formation energy: -1.786 eV/atom
Space group: Fm-3m

---

[3]
Computed, not measured: a crystal of AlReCl2 relaxed with PBEsol at the SCAN level of DFT.

Cell and atoms, written as POSCAR:
```
AlReCl2
1.0
-1.139 -0.957 -2.637
1.959 -3.288 0.347
-5.967 -1.867 3.255
Re Al Cl
1 1 2
direct
0.000 0.816 0.577
0.500 0.358 0.690
0.000 0.103 0.916
0.500 0.724 0.318
```

Summary:
Density: 5.83 g/cm³
Uncorrected formation energy: -0.286 eV/atom
ΔE to the lowest computed polymorph: 0.0 meV/atom
Space group: Pm

---

Q: Among the records above, which one has the lowest uncorrected formation energy?
A: Rb2AlTlCl6

---

Q: Look up the uncorrected formation energy of the second one.
A: -1.786 eV/atom

---

Q: Among the records above, which one has the highest density?
A: AlReCl2

---

Q: The highest density belongs to which entry?
A: AlReCl2